Density functional theory data (PBE) for crystalline Ba6Na2PdRh at its relaxed geometry.

Output
As for the energy relative to the elements: -19.5 kJ per mole of atoms.

Cell: 12.5338 12.5334 8.8610 Å, 90.00 134.93 90.00°
Last column: nearest neighbours and their distance in Å.
Space group Cm (No. 8)
One atom of each set of equivalent atoms:
Ba1 0.0000 0.0000 0.0000 [2 per cell]  1 Rh 3.08, 1 Pd 3.18
Ba2 0.9998 0.0000 0.4919 [2 per cell]  1 Rh 3.08, 1 Pd 3.19
Ba3 0.0079 0.5000 0.9998 [2 per cell]  1 Rh 3.08, 1 Pd 3.18
Ba4 0.0081 0.5000 0.5080 [2 per cell]  1 Rh 3.09, 1 Pd 3.19
Ba5 0.2540 0.2540 0.0000 [4 per cell]  1 Rh 3.08, 1 Pd 3.18
Na1 0.2533 0.2500 0.4987 [4 per cell]  12 Ba 4.43-4.44
Pd1 0.2540 0.0000 0.0000 [2 per cell]  6 Ba 3.18-3.19
Rh1 0.2541 0.5000 0.0001 [2 per cell]  6 Ba 3.08-3.09



Density functional theory data (PBE) for crystalline CeSc5Tl6 at its relaxed geometry.

Output
As for the energy relative to the elements: -22.9 kJ per mole of atoms.

Cell: 5.1764 7.3082 15.5853 Å, 90.00 90.00 90.00°
Last column: nearest neighbours and their distance in Å.
Space group Immm (No. 71)
One atom of each set of equivalent atoms:
Ce1 0.0000 0.0000 0.0000 [2 per cell]  8 Tl 3.25-3.29, 4 Sc 3.61
Sc1 0.0000 0.0000 0.3318 [4 per cell]  8 Tl 3.12-3.13
Sc2 0.0000 0.5000 0.0000 [2 per cell]  8 Tl 3.09-3.21
Sc3 0.0000 0.5000 0.3388 [4 per cell]  8 Tl 3.14-3.21
Tl1 0.0000 0.2313 0.5000 [4 per cell]  6 Sc 3.09-3.19, 2 Ce 3.25, 1 Tl 3.38
Tl2 0.0000 0.2587 0.1724 [8 per cell]  7 Sc 3.12-3.21, 1 Ce 3.29



Density functional theory data (PBE) for crystalline Th4TcPSe2 at its relaxed geometry.

Output
The uncorrected formation energy comes out at -1.1802 eV/atom.

Cell: 7.3103 4.1147 7.4254 Å, 90.00 108.30 90.00°
Last column: nearest neighbours and their distance in Å.
Space group P2/m (No. 10)
One atom of each set of equivalent atoms:
Th1 0.2325 0.0000 0.2223 [2 per cell]  2 Tc 2.84, 1 P 2.93, 3 Se 3.06-3.13
Th2 0.2529 0.5000 0.7744 [2 per cell]  1 Tc 2.86, 2 P 2.90, 3 Se 3.07-3.12
Tc1 0.0000 0.5000 0.0000 [1 per cell]  6 Th 2.84-2.86
P1 0.5000 0.0000 0.0000 [1 per cell]  6 Th 2.90-2.93
Se1 0.0000 0.0000 0.5000 [1 per cell]  6 Th 3.06-3.07
Se2 0.5000 0.5000 0.5000 [1 per cell]  6 Th 3.12-3.13



Density functional theory data (PBE) for crystalline Ce9Zn2In3 at its relaxed geometry.

Output
As for the energy relative to the elements: -7.7 kJ per mole of atoms.

Cell: 4.3833 12.5360 13.3909 Å, 90.00 90.00 90.00°
Last column: nearest neighbours and their distance in Å.
Space group Immm (No. 71)
One atom of each set of equivalent atoms:
Ce1 0.0000 0.0000 0.0000 [2 per cell]  4 Zn 3.17, 4 In 3.33, 4 Ce 3.39
Ce2 0.0000 0.1668 0.1995 [8 per cell]  1 Ce 2.66
Ce3 0.0000 0.3596 0.1157 [8 per cell]  1 Ce 2.66
Zn1 0.0000 0.5000 0.3286 [4 per cell]  8 Ce 3.05-3.35, 2 In 3.40
In1 0.0000 0.0000 0.5000 [2 per cell]  8 Ce 3.21
In2 0.0000 0.3002 0.5000 [4 per cell]  10 Ce 3.33-3.48, 2 Zn 3.40



Density functional theory data (PBE) for crystalline TmInPd14 at its relaxed geometry.

Output
As for the energy relative to the elements: -31.1 kJ per mole of atoms.

Cell: 5.7002 5.7002 7.9369 Å, 90.00 90.00 90.00°
Last column: nearest neighbours and their distance in Å.
Space group P4/mmm (No. 123)
One atom of each set of equivalent atoms:
Tm1 0.0000 0.0000 0.0000 [1 per cell]  12 Pd 2.85-2.86
In1 0.5000 0.5000 0.0000 [1 per cell]  12 Pd 2.85
Pd1 0.0000 0.0000 0.5000 [1 per cell]  12 Pd 2.81-2.85
Pd2 0.0000 0.5000 0.0000 [2 per cell]  2 In 2.85, 2 Tm 2.85, 8 Pd 2.85
Pd3 0.0000 0.5000 0.5000 [2 per cell]  12 Pd 2.80-2.85
Pd4 0.2507 0.2507 0.2542 [8 per cell]  10 Pd 2.80-2.86, 1 In 2.85, 1 Tm 2.86
Pd5 0.5000 0.5000 0.5000 [1 per cell]  12 Pd 2.80-2.85



Density functional theory data (PBE) for crystalline Li2Ce2ThGe2 at its relaxed geometry.

Output
As for the energy relative to the elements: -41.9 kJ per mole of atoms.

Cell: 4.3791 4.3791 27.2147 Å, 90.00 90.00 120.00°
Last column: nearest neighbours and their distance in Å.
Space group R-3m (No. 166, hexagonal axes)
One atom of each set of equivalent atoms:
Li1 0.0000 0.0000 0.0889 [6 per cell]  3 Ge 2.54
Ce1 0.0000 0.0000 0.3573 [6 per cell]  3 Ce 2.84, 3 Li 3.09
Th1 0.0000 0.0000 0.5000 [3 per cell]  6 Ge 3.15, 6 Li 3.30
Ge1 0.0000 0.0000 0.2360 [6 per cell]  3 Li 2.54



| no. | raw total energy (eV per atom) |
| --- | --- |
| 1 | -2.87 |
| 2 | -4.55 |
| 3 | -7.73 |
| 4 | -4.66 |
| 5 | -5.32 |
| 6 | -5.06 |